CaGaBi2 | PBE-GGA | relaxed

Properties
* volume: 30.244 A^3/atom
* DFT total energy: -27.6 eV per cell
* energy of formation from the pure elements: -0.257 eV per atom
* total magnetization: 0.00 μB/f.u.

a = 8.526 Å, b = 8.526 Å, c = 6.886 Å
α = 51.76°, β = 51.76°, γ = 90.00°
Atoms (fractional coordinates):
1 Ga 0.750 0.250 0.500
2 Bi 0.875 0.913 0.750
3 Ga 0.000 0.000 0.000
4 Ca 0.500 0.500 0.000
5 Bi 0.087 0.625 0.250
6 Bi 0.663 0.125 0.250
7 Ca 0.250 0.750 0.500
8 Bi 0.375 0.337 0.750